No. 1
## SrZrAsO (GGA-PBE)

Data for a geometry-optimized SrZrAsO structure.

abc: 4.2996 5.0840 7.5458
angles: 90.00 90.00 90.00
Site moments in Bohr magnetons follow the coordinates.
Sites, in units of the cell vectors:
As 0.0000 0.6722 0.2882  -0.01
As 0.0000 0.3278 0.7882  -0.01
O 0.5000 0.1710 0.4325  -0.02
O 0.5000 0.8290 0.9325  -0.02
Sr 0.5000 0.3311 0.0904  0.06
Sr 0.5000 0.6689 0.5904  0.06
Zr 0.0000 0.1663 0.4429  0.43
Zr 0.0000 0.8337 0.9429  0.40

Values from the calculation:
- Relative energy among the computed polymorphs: 0.32 eV per formula unit
- Energy: -53.678 eV for the cell shown
- Crystal system: orthorhombic

---

No. 2
## RbNaPuSe3 (GGA-PBE)

Data for a geometry-optimized RbNaPuSe3 structure.

abc: 7.8284 7.8284 11.3002
angles: 90.00 90.00 147.38
Site moments in Bohr magnetons follow the coordinates.
Sites, in units of the cell vectors:
Na 0.5560 0.4440 0.2500  0.00
Na 0.4440 0.5560 0.7500  0.00
Pu 0.0000 0.0000 0.0000  4.74
Pu 0.0000 0.0000 0.5000  4.74
Rb 0.2717 0.7283 0.2500  0.00
Rb 0.7283 0.2717 0.7500  0.00
Se 0.6217 0.3783 0.0247  -0.19
Se 0.9483 0.0517 0.2500  -0.15
Se 0.6217 0.3783 0.4753  -0.19
Se 0.3783 0.6217 0.5247  -0.19
Se 0.0517 0.9483 0.7500  -0.15
Se 0.3783 0.6217 0.9753  -0.19

Values from the calculation:
- Energy: -68.208 eV for the cell shown
- Crystal system: orthorhombic

---

No. 3
## ZrTaAsO (GGA-PBE)

Data for a geometry-optimized ZrTaAsO structure.

abc: 3.8281 3.8281 8.5705
angles: 90.00 90.00 90.00
Sites, in units of the cell vectors:
As 0.0000 0.5000 0.2788
As 0.5000 0.0000 0.7212
O 0.0000 0.0000 0.0000
O 0.5000 0.5000 0.0000
Ta 0.0000 0.0000 0.5000
Ta 0.5000 0.5000 0.5000
Zr 0.5000 0.0000 0.1388
Zr 0.0000 0.5000 0.8612

Values from the calculation:
- Relative energy among the computed polymorphs: 0.00 eV per formula unit
- Energy: -71.463 eV for the cell shown
- Crystal system: tetragonal

---

No. 4
## NaHgPO (GGA-PBE)

Data for a geometry-optimized NaHgPO structure.

abc: 4.2238 4.2238 9.0174
angles: 90.00 90.00 90.00
Sites, in units of the cell vectors:
Hg 0.0000 0.0000 0.2564
Hg 0.5000 0.5000 0.7436
Na 0.5000 0.0000 0.5000
Na 0.0000 0.5000 0.5000
O 0.5000 0.0000 0.0000
O 0.0000 0.5000 0.0000
P 0.5000 0.5000 0.0320
P 0.0000 0.0000 0.9680

Values from the calculation:
- Relative energy among the computed polymorphs: 1.05 eV per formula unit
- Energy: -24.213 eV for the cell shown
- Crystal system: tetragonal

---

No. 5
## LuPPtO (GGA-PBE)

Data for a geometry-optimized LuPPtO structure.

abc: 3.9008 5.2967 6.5539
angles: 90.00 90.00 90.00
Sites, in units of the cell vectors:
Lu 0.5000 0.2542 0.1057
Lu 0.5000 0.7458 0.6057
O 0.5000 0.4517 0.3890
O 0.5000 0.5483 0.8890
P 0.0000 0.8638 0.2972
P 0.0000 0.1362 0.7972
Pt 0.0000 0.2400 0.4621
Pt 0.0000 0.7600 0.9621

Values from the calculation:
- Relative energy among the computed polymorphs: 2.56 eV per formula unit
- Energy: -51.452 eV for the cell shown
- Crystal system: orthorhombic

---

No. 6
## GdSi (GGA-PBE)

Data for a geometry-optimized GdSi structure.

abc: 3.7077 3.7077 4.1518
angles: 90.00 90.00 120.00
Sites, in units of the cell vectors:
Gd 0.6667 0.3333 0.7500
Si 0.3333 0.6667 0.2500

Values from the calculation:
- Energy: -10.563 eV for the cell shown
- Crystal system: hexagonal

---

Copy entry 2 word for word.
## RbNaPuSe3 (GGA-PBE)

Data for a geometry-optimized RbNaPuSe3 structure.

abc: 7.8284 7.8284 11.3002
angles: 90.00 90.00 147.38
Site moments in Bohr magnetons follow the coordinates.
Sites, in units of the cell vectors:
Na 0.5560 0.4440 0.2500  0.00
Na 0.4440 0.5560 0.7500  0.00
Pu 0.0000 0.0000 0.0000  4.74
Pu 0.0000 0.0000 0.5000  4.74
Rb 0.2717 0.7283 0.2500  0.00
Rb 0.7283 0.2717 0.7500  0.00
Se 0.6217 0.3783 0.0247  -0.19
Se 0.9483 0.0517 0.2500  -0.15
Se 0.6217 0.3783 0.4753  -0.19
Se 0.3783 0.6217 0.5247  -0.19
Se 0.0517 0.9483 0.7500  -0.15
Se 0.3783 0.6217 0.9753  -0.19

Values from the calculation:
- Energy: -68.208 eV for the cell shown
- Crystal system: orthorhombic